Entry 1:
A geometry-optimized Hf2Mo structure. Source: OQMD via LeMat-Bulk, functional PBE.

E_form = 0.69 eV per atom
V = 120.5 Å³ per cell

abc: 5.5436 5.5436 5.5436
angles: 60.00 60.00 60.00
Positions (direct):
Mo 0.2500 0.2500 0.2500
Hf 0.6250 0.6250 0.6250
Hf 0.6250 0.6250 0.1250
Hf 0.1250 0.6250 0.6250
Hf 0.6250 0.1250 0.6250
Mo 0.0000 0.0000 0.0000


Entry 2:
A geometry-optimized Hf2Mo structure. Source: OQMD via LeMat-Bulk, functional PBE.

E_form = -0.02 eV per atom
V = 59.3 Å³ per cell

abc: 5.7474 5.7474 5.7474
angles: 145.95 145.95 48.92
Positions (direct):
Hf 0.6483 0.6483 0.0000
Hf 0.3517 0.3517 0.0000
Mo 0.0000 0.0000 0.0000


Entry 3:
A geometry-optimized HfMo2 structure. Source: OQMD via LeMat-Bulk, functional PBE.

E_form = 0.23 eV per atom
V = 112.6 Å³ per cell

abc: 5.5432 5.5432 5.5432
angles: 133.03 107.38 91.09
Positions (direct):
Hf 0.8038 0.0538 0.7500
Hf 0.1962 0.9462 0.2500
Mo 0.4013 0.3397 0.0616
Mo 0.5987 0.6603 0.9384
Mo 0.7781 0.3397 0.4384
Mo 0.2219 0.6603 0.5616


Entry 4:
A geometry-optimized Hf2Mo structure. Source: OQMD via LeMat-Bulk, functional PBE.

E_form = 2.37 eV per atom
V = 347.5 Å³ per cell

abc: 7.8918 7.8918 7.8918
angles: 60.00 60.00 60.00
Positions (direct):
Hf 0.8750 0.3750 0.3750
Mo 0.2500 0.2500 0.2500
Hf 0.3750 0.3750 0.3750
Mo 0.5000 0.5000 0.5000
Hf 0.3750 0.8750 0.3750
Hf 0.3750 0.3750 0.8750


Entry 5:
A geometry-optimized Hf2Mo structure. Source: OQMD via LeMat-Bulk, functional PBE.

E_form = 0.65 eV per atom
V = 477.4 Å³ per cell

abc: 5.5693 5.5693 17.7723
angles: 90.00 90.00 120.00
Positions (direct):
Hf 0.1588 0.8412 0.2500
Hf 0.0000 0.5000 0.0000
Hf 0.6667 0.3333 0.8725
Mo 0.0000 0.0000 0.4073
Hf 0.3333 0.6667 0.3725
Hf 0.0000 0.5000 0.5000
Mo 0.6667 0.3333 0.1550
Hf 0.6824 0.8412 0.2500
Hf 0.5000 0.0000 0.0000
Hf 0.1588 0.3176 0.2500
Mo 0.0000 0.0000 0.9073
Mo 0.0000 0.0000 0.0927
Hf 0.6667 0.3333 0.6275
Hf 0.8412 0.6824 0.7500
Mo 0.3333 0.6667 0.8450
Mo 0.6667 0.3333 0.3450
Hf 0.3333 0.6667 0.1275
Hf 0.3176 0.1588 0.7500
Hf 0.5000 0.0000 0.5000
Hf 0.5000 0.5000 0.5000
Hf 0.8412 0.1588 0.7500
Hf 0.5000 0.5000 0.0000
Mo 0.0000 0.0000 0.5927
Mo 0.3333 0.6667 0.6550


Entry 6:
A geometry-optimized HfMo2 structure. Source: OQMD via LeMat-Bulk, functional PBE.

E_form = -0.16 eV per atom
V = 433.4 Å³ per cell

abc: 5.3628 5.3628 17.3998
angles: 90.00 90.00 120.00
Positions (direct):
Hf 0.6667 0.3333 0.3439
Mo 0.5000 0.0000 0.5000
Mo 0.5000 0.0000 0.0000
Hf 0.3333 0.6667 0.6561
Mo 0.6667 0.3333 0.8760
Hf 0.0000 0.0000 0.4056
Mo 0.8369 0.6739 0.7500
Hf 0.0000 0.0000 0.9056
Mo 0.3261 0.1631 0.7500
Mo 0.6739 0.8369 0.2500
Mo 0.6667 0.3333 0.6240
Mo 0.8369 0.1631 0.7500
Hf 0.3333 0.6667 0.8439
Mo 0.1631 0.3261 0.2500
Hf 0.0000 0.0000 0.0944
Mo 0.5000 0.5000 0.5000
Mo 0.3333 0.6667 0.3760
Mo 0.0000 0.5000 0.0000
Mo 0.0000 0.5000 0.5000
Mo 0.5000 0.5000 0.0000
Mo 0.3333 0.6667 0.1240
Hf 0.6667 0.3333 0.1561
Mo 0.1631 0.8369 0.2500
Hf 0.0000 0.0000 0.5944


Entry 7:
A geometry-optimized Hf2Ni3Mo4N3 structure. Source: OQMD via LeMat-Bulk, functional PBE.

V = 308.4 Å³ per cell
Final energy = -9.197 eV per atom

abc: 5.2940 5.2940 12.9849
angles: 101.30 101.30 60.47
Positions (direct):
Mo 0.9588 0.8187 0.4175
Ni 0.4186 0.1224 0.7511
Mo 0.0412 0.1813 0.5825
Mo 0.1292 0.3043 0.9175
N 0.0000 0.5000 0.5000
N 0.3543 0.7907 0.5003
Hf 0.3724 0.5372 0.6194
Hf 0.5372 0.3724 0.1193
Ni 0.8776 0.5814 0.7489
Ni 0.9571 0.0429 0.7500
Mo 0.6957 0.8708 0.5825
Hf 0.6276 0.4628 0.3807
Ni 0.0429 0.9571 0.2500
Mo 0.8708 0.6957 0.0825
N 0.7907 0.3543 0.0003
Mo 0.8187 0.9588 0.9175
N 0.2093 0.6457 0.9997
N 0.5000 0.0000 0.0000
N 0.6457 0.2093 0.4997
Mo 0.1813 0.0412 0.0825
Ni 0.1224 0.4186 0.2511
Ni 0.5814 0.8776 0.2489
Mo 0.3043 0.1292 0.4175
Hf 0.4628 0.6276 0.8806


Entry 8:
A geometry-optimized Hf4Mo2P3N3 structure. Source: OQMD via LeMat-Bulk, functional PBE.

V = 332.6 Å³ per cell
Final energy = -9.641 eV per atom

abc: 5.7427 5.7427 12.0912
angles: 103.49 103.49 60.01
Positions (direct):
P 0.1102 0.8898 0.7500
Hf 0.2130 0.0197 0.1022
P 0.4173 0.2740 0.7469
Mo 0.6152 0.4702 0.4047
Hf 0.8529 0.7013 0.1026
P 0.7260 0.5827 0.7531
N 0.1375 0.6806 0.9997
P 0.5827 0.7260 0.2531
N 0.3194 0.8625 0.5003
Hf 0.0197 0.2130 0.6022
N 0.6806 0.1375 0.4997
N 0.0000 0.5000 0.5000
N 0.5000 0.0000 0.0000
Mo 0.4702 0.6152 0.9047
Hf 0.7870 0.9803 0.8978
N 0.8625 0.3194 0.0003
Hf 0.2987 0.1471 0.3974
P 0.8898 0.1102 0.2500
Hf 0.1471 0.2987 0.8974
Mo 0.3848 0.5298 0.5953
P 0.2740 0.4173 0.2469
Mo 0.5298 0.3848 0.0953
Hf 0.7013 0.8529 0.6026
Hf 0.9803 0.7870 0.3978


Entry 9:
A geometry-optimized Hf2Mo4Pb3N3 structure. Source: OQMD via LeMat-Bulk, functional PBE.

V = 390.4 Å³ per cell
Final energy = -8.482 eV per atom

abc: 5.7073 5.7073 14.1905
angles: 101.21 101.21 60.08
Positions (direct):
Mo 0.1620 0.0595 0.5756
Mo 0.9405 0.8380 0.9244
Pb 0.0721 0.9279 0.2500
Pb 0.7659 0.5781 0.2455
Mo 0.8380 0.9405 0.4244
Mo 0.1064 0.3127 0.4230
N 0.5000 0.0000 0.5000
N 0.3463 0.8111 0.0012
Hf 0.4758 0.6589 0.4192
N 0.6537 0.1889 0.9988
Pb 0.9279 0.0721 0.7500
Mo 0.3127 0.1064 0.9230
Pb 0.2341 0.4219 0.7545
Mo 0.6873 0.8936 0.0770
Hf 0.5242 0.3411 0.5808
N 0.8111 0.3463 0.5012
Pb 0.4219 0.2341 0.2545
Hf 0.6589 0.4758 0.9192
Hf 0.3411 0.5242 0.0808
N 0.0000 0.5000 0.0000
N 0.1889 0.6537 0.4988
Pb 0.5781 0.7659 0.7455
Mo 0.8936 0.6873 0.5770
Mo 0.0595 0.1620 0.0756


Entry 10:
A geometry-optimized Rb2HfMoN4 structure. Source: OQMD via LeMat-Bulk, functional PBE.

V = 156.9 Å³ per cell
Final energy = -7.760 eV per atom

abc: 6.0775 6.0775 6.0775
angles: 120.75 120.75 88.71
Positions (direct):
N 0.6421 0.9794 0.8626
N 0.2205 0.3579 0.3373
Hf 0.2500 0.7500 0.5000
N 0.1168 0.7795 0.1374
Mo 0.0000 0.0000 0.0000
Rb 0.5000 0.5000 0.0000
N 0.0206 0.8832 0.6627
Rb 0.7500 0.2500 0.5000


Entry 11:
A geometry-optimized Hf2Mo4S3N3 structure. Source: OQMD via LeMat-Bulk, functional PBE.

V = 322.7 Å³ per cell
Final energy = -9.069 eV per atom

abc: 5.6571 5.6571 12.0166
angles: 103.26 103.26 60.51
Positions (direct):
Mo 0.8939 0.7326 0.1001
Mo 0.9465 0.8428 0.4068
Mo 0.1572 0.0535 0.0932
S 0.4292 0.2254 0.7524
Hf 0.5343 0.3414 0.1009
S 0.0754 0.9246 0.7500
S 0.5708 0.7746 0.2476
N 0.5000 0.0000 0.0000
N 0.3443 0.8062 0.4995
Hf 0.3414 0.5343 0.6009
S 0.2254 0.4292 0.2524
Mo 0.0535 0.1572 0.5932
Mo 0.7326 0.8939 0.6001
N 0.8062 0.3443 0.9995
Hf 0.4657 0.6586 0.8991
S 0.9246 0.0754 0.2500
Mo 0.1061 0.2674 0.8999
N 0.1938 0.6557 0.0005
N 0.6557 0.1938 0.5005
Hf 0.6586 0.4657 0.3991
Mo 0.2674 0.1061 0.3999
Mo 0.8428 0.9465 0.9068
S 0.7746 0.5708 0.7476
N 0.0000 0.5000 0.5000


Entry 12:
A geometry-optimized Hf2Sb3Mo4N3 structure. Source: OQMD via LeMat-Bulk, functional PBE.

V = 373.7 Å³ per cell
Final energy = -8.723 eV per atom

abc: 5.7404 5.7404 13.5038
angles: 102.76 102.76 60.30
Positions (direct):
Mo 0.6950 0.8954 0.5826
Mo 0.0656 0.1661 0.5812
N 0.8086 0.3470 0.0009
Mo 0.1661 0.0656 0.0812
Sb 0.2261 0.4220 0.2522
Mo 0.3050 0.1046 0.4174
Hf 0.5279 0.3440 0.0862
Sb 0.7739 0.5780 0.7478
Sb 0.0645 0.9355 0.7500
Sb 0.4220 0.2261 0.7522
N 0.6530 0.1914 0.4991
N 0.5000 0.0000 0.0000
N 0.1914 0.6530 0.9991
Hf 0.6560 0.4721 0.4138
Sb 0.5780 0.7739 0.2478
Mo 0.8339 0.9344 0.9188
N 0.3470 0.8086 0.5009
Mo 0.9344 0.8339 0.4188
Sb 0.9355 0.0645 0.2500
Hf 0.3440 0.5279 0.5862
N 0.0000 0.5000 0.5000
Mo 0.8954 0.6950 0.0826
Mo 0.1046 0.3050 0.9174
Hf 0.4721 0.6560 0.9138